# 1
A plane-wave DFT calculation with PBE was carried out for a relaxed structure of NaTbGe.

a = 4.8922 Å, b = 4.8922 Å, c = 4.8922 Å
α = 60.00°, β = 60.00°, γ = 60.00°
Closest atoms and distances in Å follow each position.
Sites, in units of the cell vectors:
1 Na 0.0000 0.0000 0.0000  4 Ge 3.00
2 Tb 0.5000 0.5000 0.5000  4 Ge 3.00
3 Ge 0.2500 0.2500 0.2500  4 Tb 3.00, 4 Na 3.00

Summary:
Space-group type = F-43m
Distance to the lowest polymorph of the same formula = 0 meV/atom
Size of the total moment = 0.0 μB per cell

# 2
A plane-wave DFT calculation with PBE was carried out for a relaxed structure of NaTbGeTe3.

a = 7.6930 Å, b = 7.6930 Å, c = 11.7364 Å
α = 90.00°, β = 90.00°, γ = 145.48°
Closest atoms and distances in Å follow each position.
Sites, in units of the cell vectors:
1 Na 0.2350 0.7650 0.7500  6 Te 3.38-3.50
2 Na 0.7650 0.2350 0.2500  6 Te 3.38-3.50
3 Tb 0.0000 0.0000 0.0000  6 Te 3.15-3.25
4 Tb 0.0000 0.0000 0.5000  6 Te 3.15-3.25
5 Ge 0.4776 0.5224 0.2500  4 Te 2.85-2.87
6 Ge 0.5224 0.4776 0.7500  4 Te 2.85-2.87
7 Te 0.0957 0.9043 0.2500  2 Ge 2.87
8 Te 0.3594 0.6406 0.0576  1 Ge 2.85, 2 Tb 3.15
9 Te 0.3594 0.6406 0.4424  1 Ge 2.85, 2 Tb 3.15
10 Te 0.6406 0.3594 0.5576  1 Ge 2.85, 2 Tb 3.15
11 Te 0.6406 0.3594 0.9424  1 Ge 2.85, 2 Tb 3.15
12 Te 0.9043 0.0957 0.7500  2 Ge 2.87

Summary:
Space-group type = Cmcm
Uncorrected energy = -4.0773 eV per atom
Size of the total moment = 0.0 μB per cell

# 3
A plane-wave DFT calculation with PBE was carried out for a relaxed structure of Na6Tc3Ge.

a = 8.0813 Å, b = 8.0813 Å, c = 8.0813 Å
α = 121.88°, β = 121.88°, γ = 86.77°
Closest atoms and distances in Å follow each position.
Sites, in units of the cell vectors:
1 Na 0.0000 0.3341 0.3341  1 Na 2.60, 1 Ge 2.62
2 Na 0.0000 0.6659 0.6659  1 Na 2.60, 1 Ge 2.62
3 Na 0.2430 0.2430 0.0000  1 Ge 2.85, 1 Tc 3.02
4 Na 0.3341 0.0000 0.3341  1 Na 2.60, 1 Ge 2.62
5 Na 0.6659 0.0000 0.6659  1 Na 2.60, 1 Ge 2.62
6 Na 0.7570 0.7570 0.0000  1 Ge 2.85, 1 Tc 3.02
7 Tc 0.2500 0.7500 0.5000  4 Na 3.21
8 Tc 0.5000 0.5000 0.0000  2 Na 3.02
9 Tc 0.7500 0.2500 0.5000  4 Na 3.21
10 Ge 0.0000 0.0000 0.0000  6 Na 2.62-2.85

Summary:
Space-group type = I4/mmm
Uncorrected energy = -2.6589 eV per atom
Size of the total moment = 13.0 μB per cell

# 4
A plane-wave DFT calculation with PBE was carried out for a relaxed structure of NaTc2Ge.

a = 4.3977 Å, b = 4.3977 Å, c = 4.3977 Å
α = 60.00°, β = 60.00°, γ = 60.00°
Closest atoms and distances in Å follow each position.
Sites, in units of the cell vectors:
1 Na 0.0000 0.0000 0.0000  4 Tc 2.69, 4 Ge 2.69
2 Tc 0.5000 0.5000 0.5000  4 Tc 2.69, 4 Ge 2.69
3 Tc 0.7500 0.7500 0.7500  4 Na 2.69, 4 Tc 2.69
4 Ge 0.2500 0.2500 0.2500  4 Tc 2.69, 4 Na 2.69

Summary:
Space-group type = F-43m
Uncorrected energy = -6.3391 eV per atom
Size of the total moment = 0.0 μB per cell

# 5
A plane-wave DFT calculation with PBE was carried out for a relaxed structure of NaTcGeTe.

a = 4.6879 Å, b = 4.6879 Å, c = 4.6879 Å
α = 60.00°, β = 60.00°, γ = 60.00°
Closest atoms and distances in Å follow each position.
Sites, in units of the cell vectors:
1 Na 0.0000 0.0000 0.0000  4 Ge 2.87, 4 Te 2.87
2 Tc 0.5000 0.5000 0.5000  4 Ge 2.87, 4 Te 2.87
3 Ge 0.7500 0.7500 0.7500  4 Na 2.87, 4 Tc 2.87
4 Te 0.2500 0.2500 0.2500  4 Tc 2.87, 4 Na 2.87

Summary:
Space-group type = F-43m
Distance to the lowest polymorph of the same formula = 0 meV/atom
Size of the total moment = 0.0 μB per cell

# 6
A plane-wave DFT calculation with PBE was carried out for a relaxed structure of NaTcGeTe.

a = 4.8257 Å, b = 4.8257 Å, c = 4.8257 Å
α = 60.00°, β = 60.00°, γ = 60.00°
Closest atoms and distances in Å follow each position.
Sites, in units of the cell vectors:
1 Na 0.0000 0.0000 0.0000  4 Tc 2.96, 4 Ge 2.96
2 Tc 0.7500 0.7500 0.7500  4 Na 2.96, 4 Te 2.96
3 Ge 0.2500 0.2500 0.2500  4 Na 2.96, 4 Te 2.96
4 Te 0.5000 0.5000 0.5000  4 Tc 2.96, 4 Ge 2.96

Summary:
Space-group type = F-43m
Distance to the lowest polymorph of the same formula = 425 meV/atom
Size of the total moment = 1.7 μB per cell

# 7
A plane-wave DFT calculation with PBE was carried out for a relaxed structure of NaTcGeW.

a = 4.4576 Å, b = 4.4576 Å, c = 4.4576 Å
α = 60.00°, β = 60.00°, γ = 60.00°
Closest atoms and distances in Å follow each position.
Sites, in units of the cell vectors:
1 Na 0.0000 0.0000 0.0000  4 Ge 2.73, 4 Tc 2.73
2 Tc 0.2500 0.2500 0.2500  4 W 2.73, 4 Na 2.73
3 Ge 0.7500 0.7500 0.7500  4 W 2.73, 4 Na 2.73
4 W 0.5000 0.5000 0.5000  4 Ge 2.73, 4 Tc 2.73

Summary:
Space-group type = F-43m
Distance to the lowest polymorph of the same formula = 72 meV/atom
Size of the total moment = 0.0 μB per cell

# 8
A plane-wave DFT calculation with PBE was carried out for a relaxed structure of NaTcGeW.

a = 4.4300 Å, b = 4.4300 Å, c = 4.4300 Å
α = 60.00°, β = 60.00°, γ = 60.00°
Closest atoms and distances in Å follow each position.
Sites, in units of the cell vectors:
1 Na 0.0000 0.0000 0.0000  4 Ge 2.71, 4 W 2.71
2 Tc 0.5000 0.5000 0.5000  4 Ge 2.71, 4 W 2.71
3 Ge 0.2500 0.2500 0.2500  4 Tc 2.71, 4 Na 2.71
4 W 0.7500 0.7500 0.7500  4 Na 2.71, 4 Tc 2.71

Summary:
Space-group type = F-43m
Distance to the lowest polymorph of the same formula = 0 meV/atom
Size of the total moment = 0.0 μB per cell

# 9
A plane-wave DFT calculation with PBE was carried out for a relaxed structure of NaThGe.

a = 4.9227 Å, b = 4.9227 Å, c = 4.9227 Å
α = 60.00°, β = 60.00°, γ = 60.00°
Closest atoms and distances in Å follow each position.
Sites, in units of the cell vectors:
1 Na 0.0000 0.0000 0.0000  4 Ge 3.01
2 Th 0.5000 0.5000 0.5000  4 Ge 3.01
3 Ge 0.2500 0.2500 0.2500  4 Th 3.01, 4 Na 3.01

Summary:
Space-group type = F-43m
Uncorrected energy = -4.5691 eV per atom
Size of the total moment = 0.0 μB per cell

# 10
A plane-wave DFT calculation with PBE was carried out for a relaxed structure of NaThGe.

a = 5.0291 Å, b = 5.0291 Å, c = 5.0291 Å
α = 60.00°, β = 60.00°, γ = 60.00°
Closest atoms and distances in Å follow each position.
Sites, in units of the cell vectors:
1 Na 0.0000 0.0000 0.0000  4 Th 3.08
2 Th 0.7500 0.7500 0.7500  4 Ge 3.08, 4 Na 3.08
3 Ge 0.5000 0.5000 0.5000  4 Th 3.08

Summary:
Space-group type = F-43m
Uncorrected energy = -4.1094 eV per atom
Size of the total moment = 0.0 μB per cell

# 11
A plane-wave DFT calculation with PBE was carried out for a relaxed structure of Na2ZnGe.

a = 5.9050 Å, b = 5.9050 Å, c = 5.4899 Å
α = 90.00°, β = 90.00°, γ = 77.76°
Closest atoms and distances in Å follow each position.
Sites, in units of the cell vectors:
1 Na 0.0334 0.3179 0.2500  4 Ge 3.14-3.25, 5 Na 3.23-3.46, 4 Zn 3.39-3.45
2 Na 0.3179 0.0334 0.7500  4 Ge 3.14-3.25, 5 Na 3.23-3.46, 4 Zn 3.39-3.45
3 Na 0.6821 0.9666 0.2500  4 Ge 3.14-3.25, 5 Na 3.23-3.46, 4 Zn 3.39-3.45
4 Na 0.9666 0.6821 0.7500  4 Ge 3.14-3.25, 5 Na 3.23-3.46, 4 Zn 3.39-3.45
5 Zn 0.5000 0.5000 0.0000  2 Ge 2.45
6 Zn 0.5000 0.5000 0.5000  2 Ge 2.45
7 Ge 0.2267 0.7733 0.2500  2 Zn 2.45
8 Ge 0.7733 0.2267 0.7500  2 Zn 2.45

Summary:
Space-group type = Cmcm
Uncorrected energy = -2.2790 eV per atom

# 12
A plane-wave DFT calculation with PBE was carried out for a relaxed structure of Nb3Ge.

a = 7.7844 Å, b = 7.7844 Å, c = 7.7844 Å
α = 96.68°, β = 96.68°, γ = 140.11°
Closest atoms and distances in Å follow each position.
Sites, in units of the cell vectors:
1 Nb 0.0811 0.7712 0.8523  4 Ge 2.75-3.01, 3 Nb 2.78-2.84
2 Nb 0.2288 0.0811 0.3098  4 Ge 2.75-3.01, 3 Nb 2.78-2.84
3 Nb 0.2500 0.2500 0.0000  10 Nb 2.66-2.84
4 Nb 0.2500 0.7500 0.5000  2 Nb 2.66, 4 Ge 2.71
5 Nb 0.2712 0.5811 0.8523  4 Ge 2.75-3.01, 3 Nb 2.78-2.84
6 Nb 0.4189 0.2712 0.6902  4 Ge 2.75-3.01, 3 Nb 2.78-2.84
7 Nb 0.5811 0.7288 0.3098  4 Ge 2.75-3.01, 3 Nb 2.78-2.84
8 Nb 0.7288 0.4189 0.1477  4 Ge 2.75-3.01, 3 Nb 2.78-2.84
9 Nb 0.7500 0.2500 0.5000  2 Nb 2.66, 4 Ge 2.71
10 Nb 0.7500 0.7500 0.0000  10 Nb 2.66-2.84
11 Nb 0.7712 0.9189 0.6902  4 Ge 2.75-3.01, 3 Nb 2.78-2.84
12 Nb 0.9189 0.2288 0.1477  4 Ge 2.75-3.01, 3 Nb 2.78-2.84
13 Ge 0.1615 0.3385 0.5000  10 Nb 2.71-3.01
14 Ge 0.3385 0.8385 0.1770  10 Nb 2.71-3.01
15 Ge 0.6615 0.1615 0.8230  10 Nb 2.71-3.01
16 Ge 0.8385 0.6615 0.5000  10 Nb 2.71-3.01

Summary:
Space-group type = I4/mcm
Distance to the lowest polymorph of the same formula = 163 meV/atom
Size of the total moment = 0.0 μB per cell

What is the formula in the seventh record?
NaTcGeW